An optimized crystal structure of NaInCu3, computed with PBE-GGA.

Output
As for the space group: No. 166. As for the size of the total moment: 0.00 Bohr magnetons per cell. As for the final energy: -3.271 eV per atom. The mass density comes out at 6.45 g cm⁻³.

The structure in POSCAR format:
```
NaInCu3
1.0
1.1814 4.3495 2.5817
-1.1057 0.3986 5.0594
6.5234 -1.1532 4.1827
Na In Cu
2 2 6
Cartesian
3.2941 0.2064 3.3698 Na
3.3050 3.3885 8.4540 Na
4.9220 1.1144 6.3203 In
1.6772 2.4805 5.5035 In
0.9028 0.4320 1.5222 Cu
0.3607 0.6274 4.0029 Cu
1.4821 2.5646 2.7881 Cu
5.6963 3.1629 10.3016 Cu
5.1171 1.0303 9.0358 Cu
6.2385 2.9675 7.8209 Cu
```